RbNiOsO6 | PBE with a Hubbard U | optimized geometry

Values from the calculation:
- SG: C2 (5)
- Calculated volume: 16.2 A^3/atom
- Calculated density: 4.89 g cm⁻³
- Total DFT energy (no corrections): -5.9366 eV/atom
- Total magnetization: 0.1105 μB/atom

Cell lengths 5.1542, 5.2846, 6.2518 Å; angles 91.69, 90.89, 59.17 degrees
With the nearest neighbours (Å) after each atom.
Element x y z (fractional)
O 0.0025 0.6042 0.6683  1 Ni 1.87, 1 Os 1.93
O 0.3847 0.6054 0.3422  1 Os 1.89, 1 Ni 1.92
O 0.5860 0.0331 0.3111  1 Os 1.82
O 0.0021 0.3935 0.3317  1 Ni 1.87, 1 Os 1.93
O 0.5868 0.3805 0.6886  1 Os 1.82
O 0.3851 0.0099 0.6580  1 Os 1.89, 1 Ni 1.92
Rb 0.0308 0.9847 0.0000  6 O 2.88-2.93
Os 0.3470 0.3264 0.5000  6 O 1.82-1.93
Ni 0.6748 0.6624 0.5001  4 O 1.87-1.92